VASP calculation (PBE-GGA) on crystalline LiNdMgNi at its relaxed geometry.

a b c (Å): 6.8029 6.8029 6.8029
angles (deg): 90.00 90.00 90.00
Space group F-43m (No. 216)
Asymmetric unit:
Li  0.0000  0.0000  0.0000 [4 per cell]
Nd  0.2500  0.2500  0.7500 [4 per cell]
Mg  0.2500  0.2500  0.2500 [4 per cell]
Ni  0.0000  0.0000  0.5000 [4 per cell]

**Energy of formation**: -104 meV per atom
**Magnetic moment**: 0.00 μB/atom